Computed, not measured: a relaxed structure of Co3SnTe at the PBE level of DFT.

- Excess energy over the best structure of this formula in the dataset: 0 meV per atom
- Total moment: 3.16 Bohr magnetons per cell
- Volume: 20.45 Å³/atom
- E_form (uncorrected): 0.92 eV per atom
- Space-group type: Pm-3m
- Theoretical density: 6.872 g/cm³

Cell lengths 4.676, 4.676, 4.676 Å; angles 90.00, 90.00, 90.00 degrees
Positions (direct):
Co 0.000 0.000 0.500
Co 0.000 0.500 0.000
Co 0.500 0.000 0.000
Sn 0.500 0.500 0.500
Te 0.000 0.000 0.000